{
  "formula": "In2AgH",
  "functional": "GGA-PBE",
  "state": "relaxed",
  "crystal_system": "tetragonal",
  "polymorph_energy_ev_per_fu": 0.00,
  "total_energy_ev_per_cell": -20.78,
  "lattice_angstrom": [[-5.069, 0.291, -1.078], [1.012, -0.925, -5.006], [-2.631, -6.807, -1.964]],
  "species": ["In", "Ag", "In", "H", "In", "H", "In", "Ag"],
  "frac_coords": [[0.875, 0.775, 0.750], [0.000, 0.000, 0.000], [0.525, 0.125, 0.250], [0.250, 0.750, 0.500], [0.375, 0.475, 0.750], [0.500, 0.500, 0.000], [0.225, 0.625, 0.250], [0.750, 0.250, 0.500]]
}